KAlV2O6 (GGA+U, optimized geometry); total magnetic moment = 2.00 μB/f.u.; symmetry = C2/c, No. 15; electronic total energy = -142.8 eV/cell; calculated volume = 15.05 A^3/atom
1.0
6.160 -0.148 -0.153
1.802 7.055 -1.029
1.802 -1.289 7.012
K V Al O
2 4 2 12
Direct
0.750 0.101 0.899 K
0.250 0.899 0.101 K
0.347 0.719 0.553 V
0.153 0.447 0.281 V
0.653 0.281 0.447 V
0.847 0.553 0.719 V
0.250 0.198 0.802 Al
0.750 0.802 0.198 Al
0.726 0.749 0.958 O
0.274 0.251 0.042 O
0.493 0.789 0.357 O
0.058 0.656 0.578 O
0.007 0.643 0.211 O
0.442 0.422 0.344 O
0.942 0.344 0.422 O
0.507 0.211 0.643 O
0.226 0.958 0.749 O
0.993 0.357 0.789 O
0.774 0.042 0.251 O
0.558 0.578 0.656 O